# 1
{
  "formula": "ZrVHg2Rh",
  "functional": "PBE",
  "state": "relaxed",
  "density_g_cm3": 9.22,
  "magmom_total_mub_per_cell": 0.65,
  "energy_ev_per_atom": -4.09,
  "cell": [[-2.600, -4.250, 0.762], [2.350, -0.746, 3.859], [-3.458, 2.582, 2.605]],
  "species": ["Hg", "Hg", "Rh", "V", "Zr"],
  "frac_coords": [[0.500, 0.000, 0.000], [0.000, 0.000, 0.500], [0.500, 0.500, 0.500], [0.000, 0.000, 0.000], [0.000, 0.500, 0.000]]
}



# 2
{
  "formula": "LaSi2P",
  "functional": "PBE",
  "state": "relaxed",
  "density_g_cm3": 4.76,
  "raw_formation_energy_ev_per_fu": -1.16,
  "magmom_total_mub_per_cell": 0.00,
  "energy_ev_per_atom": -5.59,
  "cell": [[-2.358, 1.298, -2.422], [2.153, -1.111, -2.691], [-2.838, -5.305, -0.080]],
  "species": ["P", "La", "Si", "Si"],
  "frac_coords": [[0.500, 0.500, 0.803], [0.000, 0.000, 0.512], [0.500, 0.500, 0.180], [0.000, 0.000, 0.006]]
}



# 3
{
  "formula": "DyUN2",
  "functional": "PBE",
  "state": "relaxed",
  "density_g_cm3": 12.08,
  "raw_formation_energy_ev_per_fu": -4.98,
  "magmom_total_mub_per_cell": 1.76,
  "energy_ev_per_atom": -9.38,
  "cell": [[-0.862, -0.064, -3.251], [-3.241, -0.203, -0.877], [-1.738, 5.909, -1.396]],
  "species": ["Dy", "N", "N", "U"],
  "frac_coords": [[0.672, 0.672, 0.984], [0.082, 0.082, 0.753], [0.247, 0.247, 0.258], [0.498, 0.498, 0.505]]
}



# 4
{
  "formula": "TaIr3",
  "functional": "PBE",
  "state": "relaxed",
  "density_g_cm3": 20.55,
  "magmom_total_mub_per_cell": 0.00,
  "energy_ev_per_atom": -9.77,
  "cell": [[-1.304, 2.431, 0.454], [-1.391, -2.408, 0.287], [2.391, -0.344, 8.715]],
  "species": ["Ir", "Ir", "Ir", "Ta"],
  "frac_coords": [[0.000, 0.000, 0.498], [0.333, 0.667, 0.250], [0.000, 0.000, 0.002], [0.333, 0.667, 0.750]]
}



# 5
{
  "formula": "Th6Ge2P3S",
  "functional": "PBE",
  "state": "relaxed",
  "density_g_cm3": 8.87,
  "raw_formation_energy_ev_per_fu": -16.10,
  "magmom_total_mub_per_cell": 0.00,
  "energy_ev_per_atom": -7.52,
  "cell": [[4.190, 0.000, 0.000], [0.000, 8.360, 0.283], [-2.095, -2.428, 8.801]],
  "species": ["Th", "Th", "Th", "Th", "Th", "Th", "P", "P", "P", "Ge", "Ge", "S"],
  "frac_coords": [[0.003, 0.746, 0.006], [0.334, 0.412, 0.669], [0.668, 0.078, 0.336], [0.332, 0.922, 0.664], [0.997, 0.254, 0.994], [0.666, 0.588, 0.331], [0.500, 0.500, 0.000], [0.167, 0.834, 0.334], [0.833, 0.166, 0.666], [0.836, 0.670, 0.671], [0.164, 0.330, 0.329], [0.500, 0.000, 0.000]]
}



# 6
{
  "formula": "Ni6GeH6",
  "functional": "PBE",
  "state": "relaxed",
  "density_g_cm3": 6.64,
  "magmom_total_mub_per_cell": 0.00,
  "energy_ev_per_atom": -4.43,
  "cell": [[4.170, 0.000, 0.000], [-2.085, 3.611, 0.000], [0.000, 0.000, 7.151]],
  "species": ["H", "H", "H", "H", "H", "H", "Ni", "Ni", "Ni", "Ni", "Ni", "Ni", "Ge"],
  "frac_coords": [[0.500, 0.500, 0.341], [0.000, 0.500, 0.659], [0.500, 0.000, 0.659], [0.500, 0.500, 0.659], [0.500, 0.000, 0.341], [0.000, 0.500, 0.341], [0.667, 0.333, 0.500], [0.000, 0.000, 0.672], [0.333, 0.667, 0.500], [0.000, 0.000, 0.328], [0.333, 0.667, 0.000], [0.667, 0.333, 0.000], [0.000, 0.000, 0.000]]
}



# 7
{
  "formula": "Sm5AgS8",
  "functional": "PBE",
  "state": "relaxed",
  "density_g_cm3": 6.06,
  "raw_formation_energy_ev_per_fu": -25.64,
  "magmom_total_mub_per_cell": 0.00,
  "energy_ev_per_atom": -6.08,
  "cell": [[-2.383, -2.721, 6.398], [6.841, 2.539, 0.877], [-4.412, 5.465, -2.165]],
  "species": ["Sm", "Sm", "Sm", "Sm", "Sm", "S", "S", "S", "S", "S", "S", "S", "S", "Ag"],
  "frac_coords": [[0.500, 0.500, 0.000], [0.985, 0.367, 0.116], [0.130, 0.015, 0.381], [0.251, 0.870, 0.884], [0.633, 0.749, 0.619], [0.250, 0.490, 0.607], [0.883, 0.643, 0.393], [0.381, 0.271, 0.248], [0.357, 0.750, 0.240], [0.729, 0.977, 0.109], [0.023, 0.133, 0.752], [0.510, 0.117, 0.760], [0.867, 0.619, 0.891], [0.750, 0.250, 0.500]]
}



# 8
{
  "formula": "Cs5Na4",
  "functional": "PBE",
  "state": "relaxed",
  "density_g_cm3": 1.80,
  "magmom_total_mub_per_cell": 0.00,
  "energy_ev_per_atom": -1.04,
  "cell": [[6.422, 0.000, 0.000], [3.211, 7.984, -0.119], [3.211, 2.380, 13.600]],
  "species": ["Cs", "Cs", "Cs", "Cs", "Cs", "Na", "Na", "Na", "Na"],
  "frac_coords": [[0.109, 0.178, 0.604], [0.249, 0.329, 0.174], [0.000, 0.000, 0.000], [0.751, 0.671, 0.826], [0.891, 0.822, 0.396], [0.398, 0.596, 0.608], [0.602, 0.404, 0.392], [0.448, 0.277, 0.827], [0.552, 0.723, 0.173]]
}



# 9
{
  "formula": "BWN2",
  "functional": "PBE",
  "state": "relaxed",
  "density_g_cm3": 10.36,
  "raw_formation_energy_ev_per_fu": -0.35,
  "magmom_total_mub_per_cell": 0.00,
  "energy_ev_per_atom": -9.16,
  "cell": [[-4.013, -0.238, -1.903], [1.890, -1.246, -3.828], [-1.328, -4.200, -1.871]],
  "species": ["N", "N", "N", "N", "B", "B", "W", "W"],
  "frac_coords": [[0.875, 0.779, 0.750], [0.221, 0.625, 0.250], [0.529, 0.125, 0.250], [0.375, 0.471, 0.750], [0.500, 0.500, 0.000], [0.250, 0.750, 0.500], [0.000, 0.000, 0.000], [0.750, 0.250, 0.500]]
}



# 10
{
  "formula": "Sr3AcPb2S",
  "functional": "PBE",
  "state": "relaxed",
  "density_g_cm3": 5.58,
  "raw_formation_energy_ev_per_fu": -6.05,
  "magmom_total_mub_per_cell": 0.00,
  "energy_ev_per_atom": -3.82,
  "cell": [[5.767, 0.000, 0.000], [0.000, 5.572, 0.000], [-2.884, -2.786, 8.666]],
  "species": ["Pb", "Pb", "Sr", "Sr", "Sr", "Ac", "S"],
  "frac_coords": [[0.374, 0.374, 0.748], [0.626, 0.626, 0.252], [0.000, 0.500, 0.000], [0.820, 0.820, 0.641], [0.180, 0.180, 0.359], [0.500, 0.000, 0.000], [0.000, 0.000, 0.000]]
}



# 11
{
  "formula": "La2CoHg",
  "functional": "PBE",
  "state": "relaxed",
  "density_g_cm3": 8.11,
  "magmom_total_mub_per_cell": 0.00,
  "energy_ev_per_atom": -4.38,
  "cell": [[-2.793, 7.381, 0.499], [-5.725, -1.818, -5.142], [-6.343, 1.813, 0.341]],
  "species": ["Hg", "Hg", "La", "La", "La", "La", "Co", "Co"],
  "frac_coords": [[0.000, 0.000, 0.000], [0.750, 0.250, 0.500], [0.559, 0.125, 0.250], [0.375, 0.441, 0.750], [0.191, 0.625, 0.250], [0.875, 0.809, 0.750], [0.250, 0.750, 0.500], [0.500, 0.500, 0.000]]
}



# 12
{
  "formula": "PmPr3NdHo",
  "functional": "PBE",
  "state": "relaxed",
  "density_g_cm3": 6.90,
  "magmom_total_mub_per_cell": 0.00,
  "energy_ev_per_atom": -4.58,
  "cell": [[5.899, 0.000, 0.000], [-2.949, 10.274, 1.656], [0.000, -1.217, 6.768]],
  "species": ["Pr", "Pr", "Pr", "Pr", "Pr", "Pr", "Pm", "Pm", "Nd", "Nd", "Ho", "Ho"],
  "frac_coords": [[0.838, 0.676, 0.243], [0.219, 0.438, 0.270], [0.781, 0.562, 0.730], [0.483, 0.966, 0.247], [0.162, 0.324, 0.757], [0.517, 0.034, 0.753], [0.351, 0.702, 0.973], [0.649, 0.298, 0.027], [0.058, 0.116, 0.259], [0.942, 0.884, 0.741], [0.357, 0.714, 0.519], [0.643, 0.286, 0.481]]
}